{
  "formula": "Na3Sr2MnO6",
  "functional": "GGA+U",
  "state": "optimized geometry",
  "lattice": [[6.014, -0.044, 0.017], [-3.044, 5.187, 0.017], [-0.971, -1.682, 5.542]],
  "species": ["Na", "Na", "Na", "Sr", "Sr", "Mn", "O", "O", "O", "O", "O", "O"],
  "frac_coords": [[0.141, 0.859, 0.500], [0.859, 0.141, 0.500], [0.500, 0.500, 0.500], [0.332, 0.668, 0.000], [0.668, 0.332, 0.000], [0.000, 0.000, 0.000], [0.932, 0.664, 0.787], [0.787, 0.787, 0.200], [0.068, 0.336, 0.213], [0.664, 0.932, 0.787], [0.213, 0.213, 0.800], [0.336, 0.068, 0.213]],
  "e_tot_ev_per_atom": -5.4859
}